First-principles (GGA-PBE) data for Cs3RbNa6 after structural relaxation, as listed in the Alexandria database.

Structure (extended XYZ):
```
20
Lattice="-7.436 6.374 -4.955 0.102 -7.916 -7.603 -6.996 -4.960 6.851" Properties=species:S:1:pos:R:3 pbc="T T T"
Cs -3.509 -6.206 -4.576
Cs -7.495 -3.318 2.141
Cs -7.422 -7.898 -1.008
Cs -6.909 1.396 -4.700
Cs -6.836 -3.185 -7.849
Cs -10.822 -0.296 -1.131
Rb 0.000 0.000 0.000
Rb -7.166 -3.251 -2.854
Na -13.237 -3.716 -2.730
Na -3.170 -2.260 1.635
Na -3.854 -4.672 -0.655
Na -3.528 1.510 -1.760
Na -3.767 -1.426 -4.570
Na -8.245 -6.381 -5.473
Na -6.086 -0.121 -0.234
Na -10.564 -5.077 -1.138
Na -10.803 -8.012 -3.948
Na -10.478 -1.830 -5.053
Na -11.161 -4.242 -7.342
Na -1.094 -2.786 -2.978
```

The formation energy from the elements comes out at 0.060 eV/atom. As for the crystal system: trigonal. As for the total moment: 0.0 Bohr magnetons per cell.